PmNd6Dy5 | PBE-GGA | relaxed

POSCAR file:
```
PmNd6Dy5
1.0
3.144 -5.444 0.000
3.144 5.444 0.000
-2.091 0.000 11.734
Pm Nd Dy
1 6 5
Direct
0.000 0.000 0.000
0.083 0.417 0.251
0.250 0.250 0.749
0.417 0.083 0.251
0.583 0.917 0.749
0.750 0.750 0.251
0.917 0.583 0.749
0.167 0.833 0.500
0.333 0.667 0.000
0.500 0.500 0.500
0.667 0.333 0.000
0.833 0.167 0.500
```

Computed properties:
Calculated formation energy: 12 meV/atom
Calculated volume: 33.474 A^3/atom
N(E_F): 1.21 states/eV per atom
E: -4.686 eV/atom
Magnetization: 0.00 μB per formula unit

***

Pm4Nd5Dy2 | PBE-GGA | relaxed

POSCAR file:
```
Pm4Nd5Dy2
1.0
9.017 0.000 0.000
0.000 3.553 0.000
-0.904 0.000 11.861
Pm Nd Dy
4 5 2
Direct
0.156 0.000 0.392
0.287 0.000 0.950
0.713 0.000 0.050
0.844 0.000 0.608
0.196 0.500 0.668
0.427 0.500 0.207
0.500 0.500 0.500
0.573 0.500 0.793
0.804 0.500 0.332
0.056 0.500 0.135
0.944 0.500 0.865
```

Computed properties:
Calculated formation energy: 86 meV/atom
Calculated volume: 34.548 A^3/atom
N(E_F): 1.55 states/eV per atom
E: -4.645 eV/atom
Magnetization: 0.00 μB per formula unit

***

Pm7Nd2Dy3 | PBE-GGA | relaxed

POSCAR file:
```
Pm7Nd2Dy3
1.0
6.467 0.000 0.000
0.000 3.576 0.000
-1.841 0.000 17.626
Pm Nd Dy
7 2 3
Direct
0.000 0.000 0.000
0.227 0.500 0.169
0.258 0.500 0.497
0.277 0.000 0.835
0.723 0.000 0.165
0.742 0.500 0.503
0.773 0.500 0.831
0.059 0.500 0.671
0.941 0.500 0.329
0.454 0.000 0.341
0.500 0.500 0.000
0.546 0.000 0.659
```

Computed properties:
Calculated formation energy: 67 meV/atom
Calculated volume: 33.967 A^3/atom
N(E_F): 1.52 states/eV per atom
E: -4.649 eV/atom
Magnetization: 0.00 μB per formula unit

***

Pm3NdDy6 | PBE-GGA | relaxed

POSCAR file:
```
Pm3NdDy6
1.0
4.968 2.868 3.888
-4.968 2.868 3.888
0.000 -5.736 3.888
Pm Nd Dy
3 1 6
Direct
0.000 0.000 0.000
0.249 0.249 0.249
0.751 0.751 0.751
0.500 0.500 0.500
0.000 0.673 0.327
0.173 0.500 0.827
0.327 0.000 0.673
0.500 0.827 0.173
0.673 0.327 0.000
0.827 0.173 0.500
```

Computed properties:
Calculated formation energy: 282 meV/atom
Calculated volume: 33.237 A^3/atom
N(E_F): 2.13 states/eV per atom
E: -4.381 eV/atom
Magnetization: 0.00 μB per formula unit

***

Pm5Nd12Dy2 | PBE-GGA | relaxed

POSCAR file:
```
Pm5Nd12Dy2
1.0
11.283 -3.598 0.000
11.283 3.598 0.000
-3.051 0.000 8.297
Pm Nd Dy
5 12 2
Direct
0.000 0.000 0.000
0.249 0.249 0.990
0.350 0.350 0.404
0.650 0.650 0.596
0.751 0.751 0.010
0.052 0.547 0.706
0.142 0.142 0.560
0.151 0.638 0.116
0.362 0.849 0.884
0.452 0.452 0.804
0.453 0.948 0.294
0.547 0.052 0.706
0.548 0.548 0.196
0.638 0.151 0.116
0.849 0.362 0.884
0.858 0.858 0.440
0.948 0.453 0.294
0.257 0.743 0.500
0.743 0.257 0.500
```

Computed properties:
Calculated formation energy: 130 meV/atom
Calculated volume: 35.460 A^3/atom
N(E_F): 1.49 states/eV per atom
E: -4.616 eV/atom
Magnetization: 0.00 μB per formula unit

***

Pm8NdDy6 | PBE-GGA | relaxed

POSCAR file:
```
Pm8NdDy6
1.0
4.569 2.638 6.967
-4.569 2.638 6.967
0.000 -5.276 6.967
Pm Nd Dy
8 1 6
Direct
0.077 0.077 0.077
0.218 0.613 0.249
0.249 0.218 0.613
0.387 0.751 0.782
0.613 0.249 0.218
0.751 0.782 0.387
0.782 0.387 0.751
0.923 0.923 0.923
0.500 0.500 0.500
0.037 0.598 0.746
0.254 0.963 0.402
0.402 0.254 0.963
0.598 0.746 0.037
0.746 0.037 0.598
0.963 0.402 0.254
```

Computed properties:
Calculated formation energy: 126 meV/atom
Calculated volume: 33.584 A^3/atom
N(E_F): 1.49 states/eV per atom
E: -4.567 eV/atom
Magnetization: 0.00 μB per formula unit

***

Pm7Nd2Dy2 | PBE-GGA | relaxed

POSCAR file:
```
Pm7Nd2Dy2
1.0
4.465 -6.335 0.000
4.465 6.335 0.000
-1.720 0.000 6.805
Pm Nd Dy
7 2 2
Direct
0.000 0.000 0.000
0.091 0.585 0.791
0.323 0.323 0.382
0.415 0.909 0.209
0.585 0.091 0.791
0.677 0.677 0.618
0.909 0.415 0.209
0.323 0.323 0.886
0.677 0.677 0.114
0.122 0.878 0.500
0.878 0.122 0.500
```

Computed properties:
Calculated formation energy: 293 meV/atom
Calculated volume: 34.996 A^3/atom
N(E_F): 1.52 states/eV per atom
E: -4.434 eV/atom
Magnetization: 0.00 μB per formula unit

***

Pm4Nd3Dy4 | PBE-GGA | relaxed

POSCAR file:
```
Pm4Nd3Dy4
1.0
10.767 0.000 0.000
0.000 2.884 6.060
0.000 -2.884 6.060
Pm Nd Dy
4 3 4
Direct
0.000 0.000 0.000
0.212 0.793 0.793
0.500 0.925 0.925
0.788 0.793 0.793
0.000 0.294 0.294
0.292 0.449 0.449
0.708 0.449 0.449
0.000 0.595 0.595
0.301 0.144 0.144
0.500 0.653 0.653
0.699 0.144 0.144
```

Computed properties:
Calculated formation energy: 151 meV/atom
Calculated volume: 34.212 A^3/atom
N(E_F): 1.61 states/eV per atom
E: -4.550 eV/atom
Magnetization: 0.00 μB per formula unit

***

Pm2Nd7Dy3 | PBE-GGA | relaxed

POSCAR file:
```
Pm2Nd7Dy3
1.0
6.244 0.000 0.000
0.000 5.546 0.000
-0.128 0.000 12.562
Pm Nd Dy
2 7 3
Direct
0.103 0.000 0.280
0.897 0.000 0.720
0.057 0.500 0.819
0.259 0.000 0.547
0.420 0.000 0.830
0.500 0.500 0.000
0.580 0.000 0.170
0.741 0.000 0.453
0.943 0.500 0.181
0.000 0.000 0.000
0.433 0.500 0.344
0.567 0.500 0.656
```

Computed properties:
Calculated formation energy: 284 meV/atom
Calculated volume: 36.249 A^3/atom
N(E_F): 1.53 states/eV per atom
E: -4.440 eV/atom
Magnetization: 0.00 μB per formula unit

***

Pm12Nd3Dy | PBE-GGA | relaxed

POSCAR file:
```
Pm12Nd3Dy
1.0
5.158 0.000 0.000
0.000 5.158 0.000
0.000 0.000 20.629
Pm Nd Dy
12 3 1
Direct
0.000 0.000 0.000
0.000 0.000 0.249
0.000 0.000 0.500
0.000 0.000 0.751
0.000 0.500 0.123
0.000 0.500 0.375
0.000 0.500 0.625
0.000 0.500 0.877
0.500 0.000 0.123
0.500 0.000 0.375
0.500 0.000 0.625
0.500 0.000 0.877
0.500 0.500 0.249
0.500 0.500 0.500
0.500 0.500 0.751
0.500 0.500 0.000
```

Computed properties:
Calculated formation energy: 13 meV/atom
Calculated volume: 34.301 A^3/atom
N(E_F): 1.50 states/eV per atom
E: -4.732 eV/atom
Magnetization: 0.00 μB per formula unit

***

PmNdDy | PBE-GGA | relaxed

POSCAR file:
```
PmNdDy
1.0
3.568 0.000 0.000
-1.784 3.090 0.000
0.000 0.000 18.567
Pm Nd Dy
2 2 2
Direct
0.000 0.000 0.000
0.000 0.000 0.500
0.333 0.667 0.339
0.667 0.333 0.839
0.333 0.667 0.154
0.667 0.333 0.654
```

Computed properties:
Calculated formation energy: 102 meV/atom
Calculated volume: 34.125 A^3/atom
N(E_F): 1.78 states/eV per atom
E: -4.605 eV/atom
Magnetization: 0.00 μB per formula unit

***

Pm3Nd12Dy | PBE-GGA | relaxed

POSCAR file:
```
Pm3Nd12Dy
1.0
5.185 0.000 0.000
0.000 5.185 0.000
0.000 0.000 20.715
Pm Nd Dy
3 12 1
Direct
0.000 0.000 0.000
0.000 0.000 0.251
0.000 0.000 0.749
0.000 0.500 0.125
0.000 0.500 0.376
0.000 0.500 0.624
0.000 0.500 0.875
0.500 0.000 0.125
0.500 0.000 0.376
0.500 0.000 0.624
0.500 0.000 0.875
0.500 0.500 0.000
0.500 0.500 0.251
0.500 0.500 0.500
0.500 0.500 0.749
0.000 0.000 0.500
```

Computed properties:
Calculated formation energy: 12 meV/atom
Calculated volume: 34.805 A^3/atom
N(E_F): 1.54 states/eV per atom
E: -4.742 eV/atom
Magnetization: 0.00 μB per formula unit